[1]
The following is a PBE calculation of La6Sm2Er3 after structural relaxation, from the Alexandria database.

Cell: 6.3316 8.1548 8.1913 Å, 107.17 97.16 105.02°
Closest atoms and distances in Å follow each position.
Space group P-1 (No. 2)
Asymmetric unit:
La  0.0475  0.1817  0.4105 [2 per cell]  5 La 3.63-3.68, 5 Er 3.63-3.68, 2 Sm 3.65-3.71
La  0.1369  0.5462  0.2318 [2 per cell]  6 La 3.63-3.74, 4 Er 3.64-3.66, 2 Sm 3.66-3.70
La  0.3211  0.2722  0.8647 [2 per cell]  3 Sm 3.62-3.67, 6 La 3.65-3.69, 3 Er 3.66-3.68
Sm  0.2301  0.9108  0.0486 [2 per cell]  7 La 3.62-3.71, 3 Er 3.63-3.67, 2 Sm 3.64-3.68
Er  0.4101  0.6393  0.6816 [2 per cell]  2 Er 3.62-3.67, 2 Sm 3.63-3.67, 8 La 3.63-3.68
Er  0.5000  0.0000  0.5000 [1 per cell]  2 Er 3.62, 8 La 3.64-3.66, 2 Sm 3.65

- total DFT energy (no corrections) (eV/atom) = -4.76
- ΔH_f (0 K) (eV per atom) = 0.025
- magnetization (μB per formula unit) = 0.00

---

[2]
The following is a PBE calculation of La2Sm5Er2 after structural relaxation, from the Alexandria database.

Cell: 15.0295 12.0119 6.8369 Å, 90.00 90.00 90.00°
Closest atoms and distances in Å follow each position.
Space group Ima2 (No. 46)
Asymmetric unit:
La  0.1262  0.0033  0.0000 [8 per cell]  4 Sm 3.39-3.62, 2 Er 3.67-3.70, 2 La 3.72-3.79
Sm  0.0527  0.7491  0.8568 [8 per cell]  4 Sm 3.19-3.42, 1 Er 3.33, 1 La 3.39
Sm  0.1433  0.2334  0.6820 [8 per cell]  4 Sm 3.19-3.44, 2 La 3.41-3.53, 1 Er 3.48
Sm  0.2500  0.7407  0.6524 [4 per cell]  6 Sm 3.28-3.59, 2 Er 3.46-3.67, 2 La 3.62
Er  0.0000  0.0000  0.5348 [4 per cell]  4 Sm 3.33-3.68, 2 La 3.70
Er  0.2500  0.0081  0.4629 [4 per cell]  4 Sm 3.46-3.67, 2 La 3.67, 2 Er 3.79

- total DFT energy (no corrections) (eV/atom) = -4.53
- ΔH_f (0 K) (eV per atom) = 0.198
- excess energy over the best structure of this formula in the dataset (kJ per mole of atoms) = 17.4
- magnetization (μB per formula unit) = 0.00

---

[3]
The following is a PBE calculation of La6Sm5Er2 after structural relaxation, from the Alexandria database.

Cell: 11.7725 21.1922 3.6739 Å, 90.00 90.00 90.00°
Closest atoms and distances in Å follow each position.
Space group Pbam (No. 55)
Asymmetric unit:
La  0.0806  0.1500  0.0000 [4 per cell]  2 Sm 3.32-3.48, 2 Er 3.45, 6 La 3.52-3.68
La  0.1681  0.8809  0.5000 [4 per cell]  1 Er 3.31, 4 La 3.52-3.67, 2 Sm 3.70
La  0.2148  0.5518  0.5000 [4 per cell]  5 La 3.67-3.87, 8 Sm 3.70-4.08
Sm  0.0000  0.0000  0.0000 [2 per cell]  6 La 3.32-3.70, 2 Sm 3.67
Sm  0.0540  0.4227  0.0000 [4 per cell]  2 Er 3.47, 4 Sm 3.51-3.87, 6 La 3.70-3.86
Sm  0.1520  0.7198  0.0000 [4 per cell]  4 La 3.48-3.89, 4 Er 3.57-3.66, 3 Sm 3.67-3.87
Er  0.1075  0.2868  0.5000 [4 per cell]  3 La 3.31-3.45, 6 Sm 3.47-3.66, 2 Er 3.67

- total DFT energy (no corrections) (eV/atom) = -4.72
- ΔH_f (0 K) (eV per atom) = 0.070
- magnetization (μB per formula unit) = 0.00